# LiTb2CoO6

LiTb2CoO6 after structural relaxation (PBE+U, the Alexandria database). Values from VASP.

```
&SYSTEM
  ibrav = 0, nat = 20, ntyp = 4
/
ATOMIC_SPECIES
Li 6.94 Li.upf
Tb 158.93 Tb.upf
Co 58.93 Co.upf
O 16.00 O.upf
CELL_PARAMETERS angstrom
5.2197 0.0000 0.0000
0.0000 5.6021 0.0000
-5.1149 0.0000 7.4252
ATOMIC_POSITIONS angstrom
Li 0.0000 0.0000 0.0000
Li -2.5575 2.8011 3.7126
Tb -2.6326 0.4367 5.5478
Tb -0.0751 2.3644 1.8352
Tb 0.1799 3.2377 5.5901
Tb 2.7373 5.1655 1.8775
Co 0.0524 0.0000 3.7126
Co 2.6098 2.8011 0.0000
O -1.4894 1.0199 3.3632
O -4.0468 1.7811 7.0758
O -0.8608 4.0164 3.3309
O -3.4183 4.3868 7.0436
O 0.5324 0.1575 1.9191
O -2.0251 2.6435 5.6317
O 2.1299 2.9586 1.7936
O -0.4276 5.4446 5.5062
O 3.5231 1.2153 0.3817
O 0.9656 1.5857 4.0943
O 4.1516 3.8210 0.3494
O 1.5941 4.5822 4.0621
```

Calculated values
- total magnetic moment (μB/f.u.) = 2.1
- electronic total energy (eV/atom) = -6.899